The following is a DFT calculation (GGA-PBE) of a relaxed ErMgGaAu crystal.

Unit cell a=4.8617 b=4.8617 c=4.8617 alpha=60.00 beta=60.00 gamma=60.00
Closest atoms and distances in Å follow each position.
Element x y z (fractional)
Er: 0.0000 0.0000 0.0000  4 Ga 2.98, 4 Au 2.98
Mg: 0.5000 0.5000 0.5000  4 Au 2.98, 4 Ga 2.98
Ga: 0.2500 0.2500 0.2500  4 Er 2.98, 4 Mg 2.98
Au: 0.7500 0.7500 0.7500  4 Mg 2.98, 4 Er 2.98

Results
Density of states at the Fermi level   0.741 states/eV/atom
Spin magnetization   0.00 μB/f.u.
Calculated formation energy   -631 meV per atom
Electronic total energy   -15.0 eV/cell